No. 1
Computed, not measured: a relaxed KCdAuCl6 crystal at the PBE level of DFT.

Results
Total magnetization, Bohr magnetons per cell: 2.0
Formation energy from raw total energies, kJ/mol of formula units: -733
Symmetry: P312

a = 6.7609 Å, b = 6.7610 Å, c = 6.9238 Å
α = 90.00°, β = 90.00°, γ = 60.00°
Each line ends with the local moment (μB).
Sites, in units of the cell vectors:
K 0.0000 0.0000 0.0000  0.00
Cl 0.0145 0.6229 0.7123  0.17
Au 0.3333 0.3333 0.5000  0.72
Cl 0.6229 0.0145 0.2876  0.17
Cd 0.6666 0.6667 0.5000  0.00
Cl 0.3626 0.6229 0.2876  0.17
Cl 0.0145 0.3626 0.2876  0.17
Cl 0.3625 0.0145 0.7123  0.17
Cl 0.6229 0.3626 0.7124  0.17



No. 2
Computed, not measured: a relaxed CdPAuCl2 crystal at the PBE level of DFT.

Results
Total magnetization, Bohr magnetons per cell: 1.3
Formation energy from raw total energies, kJ/mol of formula units: 136
Symmetry: P4/mmm
E above lowest polymorph, meV/atom: 0

a = 5.1070 Å, b = 5.1070 Å, c = 4.9114 Å
α = 90.00°, β = 90.00°, γ = 90.00°
Each line ends with the local moment (μB).
Sites, in units of the cell vectors:
Cl 0.5000 0.0000 0.0000  0.05
Cl 0.0000 0.5000 0.0000  0.05
Au 0.0000 0.0000 0.0000  0.12
Cd 0.5000 0.5000 0.5000  -0.08
P 0.0000 0.0000 0.5000  0.54



No. 3
Computed, not measured: a relaxed CdP2AuCl crystal at the PBE level of DFT.

Results
Total magnetization, Bohr magnetons per cell: 1.4
Formation energy from raw total energies, kJ/mol of formula units: 334
Symmetry: P4/mmm
E above lowest polymorph, meV/atom: 0

a = 4.8554 Å, b = 4.8554 Å, c = 5.1892 Å
α = 90.00°, β = 90.00°, γ = 90.00°
Each line ends with the local moment (μB).
Sites, in units of the cell vectors:
Cl 0.0000 0.0000 0.5000  0.05
P 0.0000 0.5000 0.0000  0.30
Au 0.0000 0.0000 0.0000  0.09
Cd 0.5000 0.5000 0.5000  -0.02
P 0.5000 0.0000 0.0000  0.30